Entry from Alexandria via LeMat-Bulk: UP3Ru5 after structural relaxation (PBE).

a = 6.346 Å, b = 6.346 Å, c = 12.030 Å
α = 90.00°, β = 90.00°, γ = 144.62°
Fractional coordinates of all 18 atoms:
U (0.163, 0.837, 0.750)
U (0.837, 0.163, 0.250)
P (0.126, 0.874, 0.250)
P (0.388, 0.612, 0.047)
P (0.388, 0.612, 0.453)
P (0.612, 0.388, 0.547)
P (0.612, 0.388, 0.953)
P (0.874, 0.126, 0.750)
Ru (0.000, 0.000, 0.000)
Ru (0.000, 0.000, 0.500)
Ru (0.208, 0.792, 0.077)
Ru (0.208, 0.792, 0.423)
Ru (0.443, 0.557, 0.646)
Ru (0.443, 0.557, 0.854)
Ru (0.557, 0.443, 0.146)
Ru (0.557, 0.443, 0.354)
Ru (0.792, 0.208, 0.577)
Ru (0.792, 0.208, 0.923)

DFT total energy: -77.691 eV per formula unit
DOS(E_F): 22.47 states/eV per cell
calculated volume: 15.585 A^3/atom
space group: No. 63